# YCd4Pb

Crystalline YCd4Pb at its relaxed geometry (PBE, Alexandria via LeMat-Bulk).

The structure belongs to space group F-43m (No. 216); the cell edges are 8.452, 8.452 and 8.452 Å and the angles 90.00°, 90.00° and 90.00°. The asymmetric unit holds Y at (0.000, 0.000, 0.000), Cd at (0.125, 0.125, 0.625) and Pb at (0.250, 0.250, 0.250).

The value obtained for the final energy is -2.405 eV/atom. The calculation puts the distance to the lowest polymorph of the same formula at 0.109 eV/atom. For the formation enthalpy at 0 K, the calculation gives -0.0994 eV per atom. The density of states at the Fermi level comes out at 4.65 states/eV/f.u. As for the volume: 25.16 A^3/atom.